No. 1
Below is a relaxed Li2ZrScN crystal, with properties calculated at the PBE level.

Structure (POSCAR):
```
Li2ZrScN
1.0
-0.4858 -1.6901 3.9917
2.8587 -3.1518 -0.9865
3.2620 2.5027 1.4567
Zr Sc Li N
1 1 2 1
Direct
0.0000 0.5000 0.0000
0.5000 0.5000 0.5000
0.0000 0.0000 0.5000
0.5000 0.0000 0.0000
0.0000 0.0000 0.0000
```

Results
Formation energy from raw total energies = -0.15 eV per atom
Symmetry = P4/mmm
Theoretical density = 3.3 Mg/m³
Total magnetic moment = 0.94 μB/cell
Final energy = -27.76 eV/cell

=====

No. 2
Below is a relaxed Li2SeN crystal, with properties calculated at the PBE level.

Structure (POSCAR):
```
Li2SeN
1.0
3.7555 0.0000 0.0000
0.0000 3.7555 0.0000
1.8778 1.8778 7.2188
N Se Li
2 2 4
Direct
0.2500 0.7500 0.5000
0.5000 0.5000 0.0000
0.0000 0.0000 0.0000
0.7500 0.2500 0.5000
0.5432 0.1250 0.2500
0.3750 0.4568 0.7500
0.8750 0.7932 0.7500
0.2068 0.6250 0.2500
```

Results
Formation energy from raw total energies = 0.11 eV per atom
Symmetry = I-42d
Theoretical density = 3.5 Mg/m³
Total magnetic moment = 0.00 μB/cell
Final energy = -30.40 eV/cell

=====

No. 3
Below is a relaxed LiSeN3 crystal, with properties calculated at the PBE level.

Structure (POSCAR):
```
LiSeN3
1.0
-0.8252 -2.2952 -2.7361
3.5255 -0.9715 -0.2484
-0.5697 -2.6876 2.4264
N Li Se
3 1 1
Direct
0.5000 0.0000 0.0000
0.0000 0.5000 0.0000
0.0000 0.0000 0.5000
0.0000 0.0000 0.0000
0.5000 0.5000 0.5000
```

Results
Formation energy from raw total energies = 2.39 eV per atom
Symmetry = Pm-3m
Theoretical density = 4.3 Mg/m³
Total magnetic moment = 2.44 μB/cell
Final energy = -18.41 eV/cell

=====

No. 4
Below is a relaxed LiSe2N crystal, with properties calculated at the PBE level.

Structure (POSCAR):
```
LiSe2N
1.0
2.4379 0.0000 5.8148
-1.2189 2.1113 5.8148
-1.2189 -2.1113 5.8148
N Li Se
1 1 2
Direct
0.0000 0.0000 0.0000
0.5000 0.5000 0.5000
0.0999 0.0999 0.0999
0.9001 0.9001 0.9001
```

Results
Formation energy from raw total energies = 0.29 eV per atom
Symmetry = R-3m
Theoretical density = 3.3 Mg/m³
Total magnetic moment = 0.00 μB/cell
Final energy = -16.06 eV/cell

=====

No. 5
Below is a relaxed Li2SeN crystal, with properties calculated at the PBE level.

Structure (POSCAR):
```
Li2SeN
1.0
0.0000 2.9245 2.9245
2.9245 0.0000 2.9245
2.9245 2.9245 0.0000
Se Li N
1 2 1
Direct
0.5000 0.5000 0.5000
0.7500 0.7500 0.7500
0.2500 0.2500 0.2500
0.0000 0.0000 0.0000
```

Results
Formation energy from raw total energies = 0.21 eV per atom
Symmetry = Fm-3m
Theoretical density = 3.5 Mg/m³
Total magnetic moment = 0.00 μB/cell
Final energy = -14.78 eV/cell

=====

No. 6
Below is a relaxed Li3SeN crystal, with properties calculated at the PBE level.

Structure (POSCAR):
```
Li3SeN
1.0
-2.9620 -2.6729 -0.0882
2.3591 -2.5494 -1.9647
1.2596 -1.5104 3.4723
Li N Se
3 1 1
Direct
0.5000 0.0000 0.0000
0.0000 0.5000 0.0000
0.0000 0.0000 0.5000
0.0000 0.0000 0.0000
0.5000 0.5000 0.5000
```

Results
Formation energy from raw total energies = -0.35 eV per atom
Symmetry = Pm-3m
Theoretical density = 3.0 Mg/m³
Total magnetic moment = 0.00 μB/cell
Final energy = -19.32 eV/cell

=====

No. 7
Below is a relaxed LiSe2N crystal, with properties calculated at the PBE level.

Structure (POSCAR):
```
LiSe2N
1.0
1.9320 0.0000 7.5732
-0.9660 1.6731 7.5732
-0.9660 -1.6731 7.5732
Se Li N
2 1 1
Direct
0.1068 0.1068 0.1068
0.8932 0.8932 0.8932
0.0000 0.0000 0.0000
0.5000 0.5000 0.5000
```

Results
Formation energy from raw total energies = 0.82 eV per atom
Symmetry = R-3m
Theoretical density = 4.0 Mg/m³
Total magnetic moment = 0.00 μB/cell
Final energy = -13.95 eV/cell

=====

No. 8
Below is a relaxed LiSe2N crystal, with properties calculated at the PBE level.

Structure (POSCAR):
```
LiSe2N
1.0
5.5314 0.0000 0.0000
0.0000 5.5314 0.0000
2.7657 2.7657 5.1327
N Li Se
2 2 4
Direct
0.0000 0.0000 0.0000
0.7500 0.2500 0.5000
0.2500 0.7500 0.5000
0.5000 0.5000 0.0000
0.6881 0.1250 0.2500
0.0619 0.6250 0.2500
0.3750 0.3119 0.7500
0.8750 0.9381 0.7500
```

Results
Formation energy from raw total energies = 0.39 eV per atom
Symmetry = I-42d
Theoretical density = 3.8 Mg/m³
Total magnetic moment = 0.00 μB/cell
Final energy = -31.27 eV/cell